Here is an optimized crystal structure of YReI2O from Alexandria. Energies are from PBE-GGA.

extended XYZ file:
```
5
Lattice="-2.777 3.593 4.294 1.322 -4.237 4.400 3.649 1.921 0.753" Properties=species:S:1:pos:R:3 pbc="T T T"
O 1.825 0.960 0.377
I -1.389 1.797 2.147
Y 0.000 0.000 0.000
I 0.661 -2.118 2.200
Re 1.097 0.639 4.724
```

Results
Its distance to the lowest polymorph of the same formula is 210 meV/atom. As for the crystal system: tetragonal. The formation energy (no corrections) is -0.21 eV/f.u.

***

Here is an optimized crystal structure of Be2InP2 from Alexandria. Energies are from PBE-GGA.

extended XYZ file:
```
5
Lattice="3.504 0.000 0.000 0.000 3.504 0.000 1.752 1.752 6.685" Properties=species:S:1:pos:R:3 pbc="T T T"
P 1.752 1.752 2.010
Be 3.504 1.752 3.342
In 0.000 0.000 0.000
P 3.504 3.504 4.675
Be 1.752 3.504 3.342
```

Results
The formation energy is -93 meV/atom. As for the crystal system: tetragonal.

***

Here is an optimized crystal structure of LuPu2Al from Alexandria. Energies are from PBE-GGA.

extended XYZ file:
```
4
Lattice="-4.996 -0.471 1.357 -1.256 -1.900 4.673 -2.015 3.134 3.624" Properties=species:S:1:pos:R:3 pbc="T T T"
Lu -4.133 0.382 4.827
Pu -6.200 0.573 7.241
Al 0.000 0.000 0.000
Pu -2.067 0.191 2.414
```

Results
The formation energy is 95 meV/atom. Its distance to the lowest polymorph of the same formula is 185 meV/atom. As for the crystal system: cubic.

***

Here is an optimized crystal structure of SrLaTb2 from Alexandria. Energies are from PBE-GGA.

extended XYZ file:
```
4
Lattice="3.755 0.000 0.000 0.000 3.755 0.000 0.000 0.000 10.652" Properties=species:S:1:pos:R:3 pbc="T T T"
La 1.878 1.878 0.000
Tb 0.000 0.000 2.404
Tb 0.000 0.000 8.247
Sr 1.878 1.878 5.326
```

Results
The formation energy is 127 meV/atom. Its distance to the lowest polymorph of the same formula is 13 meV/atom. As for the crystal system: tetragonal.

***

Here is an optimized crystal structure of La3Al3Ni2 from Alexandria. Energies are from PBE-GGA.

extended XYZ file:
```
32
Lattice="-0.690 1.721 5.207 7.767 -2.391 1.820 5.238 14.019 -3.940" Properties=species:S:1:pos:R:3 pbc="T T T"
La 4.540 13.373 -0.351
La 4.110 0.624 0.873
Al 5.962 0.046 6.081
Ni 6.372 5.214 2.851
La 6.760 8.859 3.300
Ni 2.330 6.803 3.131
La 8.204 12.725 2.214
Al 2.292 0.711 3.565
Ni 7.490 12.276 -0.928
Al 6.120 2.714 2.595
Ni 5.943 8.136 0.236
La 5.376 10.152 -2.319
La 3.096 9.507 0.736
Al 6.353 13.303 -2.994
La 7.775 -0.024 3.438
La 6.939 3.198 5.406
Al 4.564 6.793 1.855
Ni 0.784 2.663 4.295
Al 8.235 6.128 4.371
Ni 9.984 6.547 -0.045
Ni 4.825 1.074 4.014
Al 9.793 10.153 3.556
Ni 11.531 10.687 -1.209
La 3.324 3.722 2.468
La 8.991 9.627 0.619
Al 6.195 10.636 0.491
Al 4.080 7.221 -1.285
Al 2.522 3.196 -0.470
La 5.555 4.491 -0.214
Al 10.023 12.639 -0.478
Al 7.751 6.557 1.232
La 9.219 3.843 2.351
```

Results
The formation energy is -427 meV/atom. Its distance to the lowest polymorph of the same formula is 21 meV/atom. As for the crystal system: orthorhombic.

***

Here is an optimized crystal structure of La2Pr6Dy3 from Alexandria. Energies are from PBE-GGA.

extended XYZ file:
```
11
Lattice="6.026 0.000 1.804 3.013 5.456 0.902 -1.349 0.000 11.922" Properties=species:S:1:pos:R:3 pbc="T T T"
Pr 3.499 3.642 10.339
Dy 0.000 0.000 0.000
Dy 6.026 3.652 1.804
Pr 0.486 1.813 9.436
Pr 1.185 0.000 3.391
Dy 3.013 1.804 0.902
Pr 3.492 0.000 10.335
La 2.339 3.638 6.863
Pr 7.203 3.642 5.192
La 5.351 1.818 7.765
Pr 4.191 1.813 4.290
```

Results
The formation energy is 159 meV/atom. Its distance to the lowest polymorph of the same formula is 0 meV/atom. As for the crystal system: monoclinic.

***

Here is an optimized crystal structure of PuMn2Cr from Alexandria. Energies are from PBE-GGA.

extended XYZ file:
```
4
Lattice="2.919 0.000 0.000 0.000 2.919 0.000 0.000 0.000 7.065" Properties=species:S:1:pos:R:3 pbc="T T T"
Pu 1.460 1.460 3.533
Mn 0.000 0.000 1.410
Cr 1.460 1.460 0.000
Mn 0.000 0.000 5.656
```

Results
The formation energy is 91 meV/atom. Its distance to the lowest polymorph of the same formula is 0 meV/atom. As for the crystal system: tetragonal.

***

Here is an optimized crystal structure of Ce3FeCo2Ge6 from Alexandria. Energies are from PBE-GGA.

extended XYZ file:
```
12
Lattice="6.147 0.000 0.000 -3.074 5.324 0.000 0.000 0.000 6.970" Properties=species:S:1:pos:R:3 pbc="T T T"
Co 3.074 1.775 6.694
Ge 1.317 4.310 2.214
Ge 4.391 1.014 4.756
Fe 0.000 0.000 3.485
Ce 0.000 0.000 0.000
Ge 3.074 3.296 4.756
Ce 0.000 3.549 5.125
Ge -1.317 4.310 2.214
Co 0.000 3.549 0.276
Ce 3.074 1.775 1.845
Ge 1.756 1.014 4.756
Ge 0.000 2.028 2.214
```

Results
The formation energy is -278 meV/atom. As for the crystal system: trigonal.

***

| no. | uncorrected energy (eV per atom) |
| --- | --- |
| 1 | -5.436 |
| 2 | -4.295 |
| 3 | -9.137 |
| 4 | -3.840 |
| 5 | -5.123 |
| 6 | -4.599 |
| 7 | -10.483 |
| 8 | -5.960 |